1.
CsSn3Pt2 | PBE-GGA | relaxed

Cell: 4.307 7.003 10.983 Å, 90.00 90.00 90.00°
Sites, in units of the cell vectors:
Sn  0.000  0.242  0.500
Sn  0.500  0.235  0.264
Sn  0.000  0.742  0.500
Sn  0.500  0.735  0.736
Sn  0.500  0.249  0.736
Sn  0.500  0.749  0.264
Cs  0.000  0.992  0.970
Cs  0.000  0.492  0.030
Pt  0.500  0.992  0.540
Pt  0.000  0.992  0.312
Pt  0.500  0.492  0.460
Pt  0.000  0.492  0.688

Summary:
E_form = -0.378 eV/atom


2.
CsSn2Pt | PBE-GGA | relaxed

Cell: 4.435 7.843 7.762 Å, 90.00 90.00 90.00°
Sites, in units of the cell vectors:
Pt  0.000  0.558  0.000
Pt  0.500  0.442  0.500
Sn  0.500  0.636  0.202
Sn  0.000  0.364  0.298
Sn  0.000  0.364  0.702
Sn  0.500  0.636  0.798
Cs  0.000  0.896  0.500
Cs  0.500  0.104  0.000

Summary:
E_form = -0.418 eV/atom